[1]
! Pt2RhAu | the Alexandria database | PBE-GGA | relaxed; values from VASP
! Total moment ... 0.0 μB/cell
! Calculated total energy ... -42.69 eV for the cell shown
! Crystal system ... tetragonal
! Space group ... I-42d (122)
&SYSTEM
  ibrav = 0, nat = 8, ntyp = 3
/
ATOMIC_SPECIES
Rh 102.91 Rh.upf
Au 196.97 Au.upf
Pt 195.08 Pt.upf
CELL_PARAMETERS angstrom
-1.2280 0.9964 3.5072
3.4397 -0.9104 1.4631
4.0305 8.7591 1.0329
ATOMIC_POSITIONS crystal
Rh 0.5000 0.5000 0.0000
Rh 0.2500 0.7500 0.5000
Au 0.0000 0.0000 0.0000
Au 0.7500 0.2500 0.5000
Pt 0.6147 0.1250 0.2500
Pt 0.1353 0.6250 0.2500
Pt 0.3750 0.3853 0.7500
Pt 0.8750 0.8647 0.7500

[2]
! Pt2RhAu | the Alexandria database | PBE-GGA | relaxed; values from VASP
! Total moment ... 1.2 μB/cell
! Calculated total energy ... -22.48 eV for the cell shown
! Crystal system ... tetragonal
! Space group ... P4mm (99)
&SYSTEM
  ibrav = 0, nat = 4, ntyp = 3
/
ATOMIC_SPECIES
Rh 102.91 Rh.upf
Au 196.97 Au.upf
Pt 195.08 Pt.upf
CELL_PARAMETERS angstrom
2.8104 0.0000 0.0000
0.0000 2.8104 0.0000
0.0000 0.0000 8.0541
ATOMIC_POSITIONS crystal
Rh 0.0000 0.0000 0.4885
Au 0.5000 0.5000 0.7453
Pt 0.0000 0.0000 0.0095
Pt 0.5000 0.5000 0.2566

[3]
! Pt2RhAu2 | the Alexandria database | PBE-GGA | relaxed; values from VASP
! Total moment ... 0.0 μB/cell
! Calculated total energy ... -48.40 eV for the cell shown
! Crystal system ... tetragonal
! Space group ... P4/mbm (127)
&SYSTEM
  ibrav = 0, nat = 10, ntyp = 3
/
ATOMIC_SPECIES
Rh 102.91 Rh.upf
Au 196.97 Au.upf
Pt 195.08 Pt.upf
CELL_PARAMETERS angstrom
6.8163 0.0000 0.0000
0.0000 6.8163 0.0000
0.0000 0.0000 3.7966
ATOMIC_POSITIONS crystal
Rh 0.0000 0.0000 0.0000
Rh 0.5000 0.5000 0.0000
Au 0.1670 0.6670 0.5000
Au 0.6670 0.8330 0.5000
Au 0.8330 0.3330 0.5000
Au 0.3330 0.1670 0.5000
Pt 0.3636 0.8636 0.0000
Pt 0.8636 0.6364 0.0000
Pt 0.6364 0.1364 0.0000
Pt 0.1364 0.3636 0.0000

[4]
! Pt3RhAu | the Alexandria database | PBE-GGA | relaxed; values from VASP
! Total moment ... 0.0 μB/cell
! Offset from the most stable computed form ... 0.000 eV/f.u.
! Crystal system ... monoclinic
! Space group ... P2_1/c (14)
&SYSTEM
  ibrav = 0, nat = 20, ntyp = 3
/
ATOMIC_SPECIES
Pt 195.08 Pt.upf
Rh 102.91 Rh.upf
Au 196.97 Au.upf
CELL_PARAMETERS angstrom
4.6954 0.0000 0.0000
0.0000 6.6548 -4.5596
0.0000 -0.4945 11.3467
ATOMIC_POSITIONS crystal
Pt 0.9359 0.3545 0.2920
Pt 0.0641 0.6455 0.7080
Pt 0.4359 0.1455 0.2080
Pt 0.5641 0.8545 0.7920
Pt 0.4159 0.5240 0.2792
Pt 0.5841 0.4760 0.7208
Pt 0.9159 0.9760 0.2208
Pt 0.0841 0.0240 0.7792
Pt 0.9196 0.6716 0.2592
Pt 0.0804 0.3284 0.7408
Pt 0.4196 0.8284 0.2408
Pt 0.5804 0.1716 0.7592
Rh 0.2467 0.4275 0.0078
Rh 0.7533 0.5725 0.9922
Rh 0.7467 0.0725 0.4922
Rh 0.2533 0.9275 0.5078
Au 0.7611 0.7340 0.5283
Au 0.2389 0.2660 0.4717
Au 0.2611 0.7660 0.9717
Au 0.7389 0.2340 0.0283

[5]
! Pt2RhAu | the Alexandria database | PBE-GGA | relaxed; values from VASP
! Total moment ... 1.0 μB/cell
! Calculated total energy ... -22.66 eV for the cell shown
! Crystal system ... trigonal
! Space group ... R-3m (166)
&SYSTEM
  ibrav = 0, nat = 4, ntyp = 3
/
ATOMIC_SPECIES
Rh 102.91 Rh.upf
Au 196.97 Au.upf
Pt 195.08 Pt.upf
CELL_PARAMETERS angstrom
9.5319 0.0266 0.0156
9.1151 2.7879 0.0156
9.1151 1.3758 2.4248
ATOMIC_POSITIONS crystal
Rh 0.2500 0.2500 0.2500
Au 0.7500 0.7500 0.7500
Pt 0.9964 0.9964 0.9964
Pt 0.5036 0.5036 0.5036

[6]
! ScPtRhAu | the Alexandria database | PBE-GGA | relaxed; values from VASP
! Total moment ... 0.0 μB/cell
! Calculated total energy ... -26.17 eV for the cell shown
! Crystal system ... orthorhombic
! Space group ... Pmmm (47)
&SYSTEM
  ibrav = 0, nat = 4, ntyp = 4
/
ATOMIC_SPECIES
Sc 44.96 Sc.upf
Pt 195.08 Pt.upf
Rh 102.91 Rh.upf
Au 196.97 Au.upf
CELL_PARAMETERS angstrom
3.9350 0.0000 0.0000
0.0000 4.0556 0.0000
0.0000 0.0000 4.1014
ATOMIC_POSITIONS crystal
Sc 0.5000 0.0000 0.5000
Pt 0.0000 0.0000 0.0000
Rh 0.0000 0.5000 0.5000
Au 0.5000 0.5000 0.0000

[7]
! Sc4PtRh2Au | the Alexandria database | PBE-GGA | relaxed; values from VASP
! Total moment ... 0.0 μB/cell
! Calculated total energy ... -57.27 eV for the cell shown
! Crystal system ... trigonal
! Space group ... R-3m (166)
&SYSTEM
  ibrav = 0, nat = 8, ntyp = 4
/
ATOMIC_SPECIES
Sc 44.96 Sc.upf
Pt 195.08 Pt.upf
Rh 102.91 Rh.upf
Au 196.97 Au.upf
CELL_PARAMETERS angstrom
4.6584 0.0000 0.0000
2.3292 4.0343 0.0000
2.3292 1.3448 7.6050
ATOMIC_POSITIONS crystal
Sc 0.3772 0.3772 0.8685
Sc 0.8731 0.8731 0.3806
Sc 0.1269 0.1269 0.6194
Sc 0.6228 0.6228 0.1315
Pt 0.5000 0.5000 0.5000
Rh 0.7506 0.7506 0.7483
Rh 0.2494 0.2494 0.2517
Au 0.0000 0.0000 0.0000

[8]
! SmPtRhAu | the Alexandria database | PBE-GGA | relaxed; values from VASP
! Total moment ... 0.0 μB/cell
! Calculated total energy ... -23.52 eV for the cell shown
! Crystal system ... cubic
! Space group ... F-43m (216)
&SYSTEM
  ibrav = 0, nat = 4, ntyp = 4
/
ATOMIC_SPECIES
Rh 102.91 Rh.upf
Au 196.97 Au.upf
Sm 150.36 Sm.upf
Pt 195.08 Pt.upf
CELL_PARAMETERS angstrom
-0.0505 -1.4062 -4.5356
2.5484 -3.7750 -1.3440
-2.1914 -4.0353 -1.2105
ATOMIC_POSITIONS crystal
Rh 0.7500 0.7500 0.7500
Au 0.5000 0.5000 0.5000
Sm 0.0000 0.0000 0.0000
Pt 0.2500 0.2500 0.2500

[9]
! SnPtRhAu | the Alexandria database | PBE-GGA | relaxed; values from VASP
! Total moment ... 0.0 μB/cell
! Calculated total energy ... -21.52 eV for the cell shown
! Crystal system ... cubic
! Space group ... F-43m (216)
&SYSTEM
  ibrav = 0, nat = 4, ntyp = 4
/
ATOMIC_SPECIES
Rh 102.91 Rh.upf
Au 196.97 Au.upf
Sn 118.71 Sn.upf
Pt 195.08 Pt.upf
CELL_PARAMETERS angstrom
-0.1331 -3.6785 -2.7378
3.8635 -2.2711 -0.9797
0.7062 -4.1839 1.7438
ATOMIC_POSITIONS crystal
Rh 0.0000 0.0000 0.0000
Au 0.7500 0.7500 0.7500
Sn 0.2500 0.2500 0.2500
Pt 0.5000 0.5000 0.5000

[10]
! SnPtRh2Au | the Alexandria database | PBE-GGA | relaxed; values from VASP
! Total moment ... 0.0 μB/cell
! Calculated total energy ... -21.96 eV for the cell shown
! Crystal system ... tetragonal
! Space group ... P4/mmm (123)
&SYSTEM
  ibrav = 0, nat = 5, ntyp = 4
/
ATOMIC_SPECIES
Rh 102.91 Rh.upf
Au 196.97 Au.upf
Sn 118.71 Sn.upf
Pt 195.08 Pt.upf
CELL_PARAMETERS angstrom
4.8761 0.0000 0.0000
0.0000 4.9432 0.0000
0.0000 0.0000 4.8761
ATOMIC_POSITIONS crystal
Rh 0.0000 0.0000 0.5000
Rh 0.5000 0.0000 0.0000
Au 0.0000 0.0000 0.0000
Sn 0.5000 0.5000 0.5000
Pt 0.0000 0.5000 0.0000

[11]
! Ta2PtRhAu | the Alexandria database | PBE-GGA | relaxed; values from VASP
! Total moment ... 0.0 μB/cell
! Calculated total energy ... -34.51 eV for the cell shown
! Crystal system ... tetragonal
! Space group ... P4/mmm (123)
&SYSTEM
  ibrav = 0, nat = 5, ntyp = 4
/
ATOMIC_SPECIES
Rh 102.91 Rh.upf
Au 196.97 Au.upf
Pt 195.08 Pt.upf
Ta 180.95 Ta.upf
CELL_PARAMETERS angstrom
-0.3961 -4.7682 -0.2598
4.6271 -0.3041 -1.4731
1.4274 -0.3670 4.5594
ATOMIC_POSITIONS crystal
Rh 0.0000 0.5000 0.0000
Au 0.5000 0.5000 0.5000
Pt 0.0000 0.0000 0.0000
Ta 0.0000 0.0000 0.5000
Ta 0.5000 0.0000 0.0000

[12]
! TaPtRhAu | the Alexandria database | PBE-GGA | relaxed; values from VASP
! Total moment ... 0.0 μB/cell
! Calculated total energy ... -29.75 eV for the cell shown
! Crystal system ... cubic
! Space group ... F-43m (216)
&SYSTEM
  ibrav = 0, nat = 4, ntyp = 4
/
ATOMIC_SPECIES
Rh 102.91 Rh.upf
Au 196.97 Au.upf
Pt 195.08 Pt.upf
Ta 180.95 Ta.upf
CELL_PARAMETERS angstrom
-3.0064 -1.9112 -2.7860
0.7126 -4.1802 -1.5721
-2.5661 -3.4297 1.4511
ATOMIC_POSITIONS crystal
Rh 0.0000 0.0000 0.0000
Au 0.7500 0.7500 0.7500
Pt 0.5000 0.5000 0.5000
Ta 0.2500 0.2500 0.2500

[13]
! Te2PtRhAu | the Alexandria database | PBE-GGA | relaxed; values from VASP
! Total moment ... 0.8 μB/cell
! Raw formation energy ... 1.2667 eV per atom
! Crystal system ... tetragonal
! Space group ... P4/mmm (123)
&SYSTEM
  ibrav = 0, nat = 5, ntyp = 4
/
ATOMIC_SPECIES
Rh 102.91 Rh.upf
Te 127.60 Te.upf
Au 196.97 Au.upf
Pt 195.08 Pt.upf
CELL_PARAMETERS angstrom
-1.1086 -0.3534 -5.0901
-3.7908 -3.4294 1.0637
-3.2466 3.7279 0.4483
ATOMIC_POSITIONS crystal
Rh 0.0000 0.0000 0.5000
Te 0.0000 0.5000 0.0000
Te 0.5000 0.0000 0.0000
Au 0.0000 0.0000 0.0000
Pt 0.5000 0.5000 0.5000

[14]
! ThPtRhAu | the Alexandria database | PBE-GGA | relaxed; values from VASP
! Total moment ... 0.0 μB/cell
! Offset from the most stable computed form ... 0.658 eV/f.u.
! Crystal system ... cubic
! Space group ... F-43m (216)
&SYSTEM
  ibrav = 0, nat = 4, ntyp = 4
/
ATOMIC_SPECIES
Rh 102.91 Rh.upf
Au 196.97 Au.upf
Pt 195.08 Pt.upf
Th 232.04 Th.upf
CELL_PARAMETERS angstrom
-1.4770 -0.2805 4.5750
1.7857 -3.4026 2.9024
2.9912 1.2110 3.5744
ATOMIC_POSITIONS crystal
Rh 0.0000 0.0000 0.0000
Au 0.7500 0.7500 0.7500
Pt 0.5000 0.5000 0.5000
Th 0.2500 0.2500 0.2500